Record 1
# PBE Be2InAs, relaxed
# electronic total energy: -3.125 eV per atom
# energy above the lowest structure with this stoichiometry: 0.342 eV/atom
# D(E_F): 1.7 states/eV/f.u.
data_Be2InAs
_cell_length_a 3.5872
_cell_length_b 3.6593
_cell_length_c 4.9141
_cell_angle_alpha 90.00
_cell_angle_beta 90.00
_cell_angle_gamma 90.00
_symmetry_space_group_name_H-M 'P m m m'
_symmetry_Int_Tables_number 47
loop_
_symmetry_equiv_pos_as_xyz
'x,y,z'
'-x,-y,-z'
'-x,-y,z'
'x,y,-z'
'x,-y,-z'
'-x,y,z'
'-x,y,-z'
'x,-y,z'
loop_
_atom_site_label
_atom_site_type_symbol
_atom_site_fract_x
_atom_site_fract_y
_atom_site_fract_z
_atom_site_occupancy
Be1 Be 0.0000 0.0000 0.0000 1
Be2 Be 0.0000 0.5000 0.5000 1
In1 In 0.5000 0.0000 0.5000 1
As1 As 0.5000 0.5000 0.0000 1



Record 2
# PBE BaPd, relaxed
# electronic total energy: -3.640 eV per atom
data_BaPd
_cell_length_a 8.7941
_cell_length_b 8.7941
_cell_length_c 8.7941
_cell_angle_alpha 90.00
_cell_angle_beta 90.00
_cell_angle_gamma 90.00
_symmetry_space_group_name_H-M 'P m -3 n'
_symmetry_Int_Tables_number 223
_symmetry_space_group_name_Hall '-P 4n 2 3'
loop_
_atom_site_label
_atom_site_type_symbol
_atom_site_fract_x
_atom_site_fract_y
_atom_site_fract_z
_atom_site_occupancy
Ba1 Ba 0.0000 0.2500 0.5000 1
Pd1 Pd 0.0000 0.5000 0.2500 1



Record 3
# PBE Sm3Y5Tm2, relaxed
# electronic total energy: -5.352 eV per atom
# energy above the lowest structure with this stoichiometry: 0.000 eV/atom
# D(E_F): 19.2 states/eV/f.u.
data_Sm3Y5Tm2
_cell_length_a 10.7526
_cell_length_b 15.9800
_cell_length_c 9.3818
_cell_angle_alpha 90.00
_cell_angle_beta 124.75
_cell_angle_gamma 90.00
_symmetry_space_group_name_H-M 'C 1 2/c 1'
_symmetry_Int_Tables_number 15
loop_
_symmetry_equiv_pos_as_xyz
'x,y,z'
'-x,-y,-z'
'-x,y,-z+1/2'
'x,-y,z+1/2'
'x+1/2,y+1/2,z'
'-x+1/2,-y+1/2,-z'
'-x+1/2,y+1/2,-z+1/2'
'x+1/2,-y+1/2,z+1/2'
loop_
_atom_site_label
_atom_site_type_symbol
_atom_site_fract_x
_atom_site_fract_y
_atom_site_fract_z
_atom_site_occupancy
Sm1 Sm 0.0000 0.2298 0.2500 1
Sm2 Sm 0.1438 0.1259 0.0458 1
Y1 Y 0.0000 0.0248 0.2500 1
Y2 Y 0.0000 0.2741 0.7500 1
Y3 Y 0.0000 0.4722 0.7500 1
Y4 Y 0.2391 0.3809 0.2317 1
Tm1 Tm 0.1525 0.3786 0.5466 1